(1)
# PBE-GGA SrOsSCl2, relaxed
data_SrOsSCl2
_cell_length_a 4.973
_cell_length_b 4.973
_cell_length_c 4.579
_cell_angle_alpha 90.00
_cell_angle_beta 90.00
_cell_angle_gamma 90.00
_space_group_name_H-M_alt 'P 4/m m m'
_space_group_IT_number 123
_space_group_name_Hall '-P 4 2'
loop_
_atom_site_label
_atom_site_type_symbol
_atom_site_fract_x
_atom_site_fract_y
_atom_site_fract_z
Sr1 Sr 0.000 0.000 0.000
Os1 Os 0.500 0.500 0.500
S1 S 0.500 0.500 0.000
Cl1 Cl 0.000 0.500 0.500
# Crystal system: tetragonal
# Energy relative to the lowest polymorph listed for this composition (eV/atom): 0.000
# Uncorrected formation energy (meV/atom): -622

---

(2)
# PBE-GGA SrOsSCl2, relaxed
data_SrOsSCl2
_cell_length_a 5.407
_cell_length_b 5.407
_cell_length_c 5.891
_cell_angle_alpha 90.00
_cell_angle_beta 90.00
_cell_angle_gamma 90.00
_space_group_name_H-M_alt 'P 4/m m m'
_space_group_IT_number 123
_space_group_name_Hall '-P 4 2'
loop_
_atom_site_label
_atom_site_type_symbol
_atom_site_fract_x
_atom_site_fract_y
_atom_site_fract_z
Sr1 Sr 0.000 0.000 0.000
Os1 Os 0.500 0.500 0.500
S1 S 0.000 0.000 0.500
Cl1 Cl 0.000 0.500 0.000
# Crystal system: tetragonal
# Energy relative to the lowest polymorph listed for this composition (eV/atom): 1.130
# Uncorrected formation energy (meV/atom): 508

---

(3)
# PBE-GGA TaOsS2Cl, relaxed
data_TaOsS2Cl
_cell_length_a 4.799
_cell_length_b 4.799
_cell_length_c 4.786
_cell_angle_alpha 90.00
_cell_angle_beta 90.00
_cell_angle_gamma 90.00
_space_group_name_H-M_alt 'P 4/m m m'
_space_group_IT_number 123
_space_group_name_Hall '-P 4 2'
loop_
_atom_site_label
_atom_site_type_symbol
_atom_site_fract_x
_atom_site_fract_y
_atom_site_fract_z
Ta1 Ta 0.000 0.000 0.000
Os1 Os 0.500 0.500 0.500
S1 S 0.000 0.500 0.000
Cl1 Cl 0.000 0.000 0.500
# Crystal system: tetragonal
# Energy relative to the lowest polymorph listed for this composition (eV/atom): 0.000
# Uncorrected formation energy (meV/atom): 854

---

(4)
# PBE-GGA TaOsS2Cl, relaxed
data_TaOsS2Cl
_cell_length_a 4.597
_cell_length_b 4.597
_cell_length_c 4.661
_cell_angle_alpha 90.00
_cell_angle_beta 90.00
_cell_angle_gamma 90.00
_space_group_name_H-M_alt 'P 4/m m m'
_space_group_IT_number 123
_space_group_name_Hall '-P 4 2'
loop_
_atom_site_label
_atom_site_type_symbol
_atom_site_fract_x
_atom_site_fract_y
_atom_site_fract_z
Ta1 Ta 0.000 0.000 0.000
Os1 Os 0.500 0.500 0.500
S1 S 0.000 0.500 0.500
Cl1 Cl 0.500 0.500 0.000
# Crystal system: tetragonal
# Energy relative to the lowest polymorph listed for this composition (eV/atom): 0.179
# Uncorrected formation energy (meV/atom): 1033